1.
Entry from Alexandria: Sr4CaSi3 at its PBEsol-relaxed geometry (SCAN).

a b c (Å): 9.629 9.629 9.629
angles (deg): 132.00 132.00 70.23
Fractional coordinates of all 16 atoms:
Sr1 0.040 0.540 0.861
Sr2 0.179 0.040 0.500
Sr3 0.321 0.821 0.861
Sr4 0.460 0.321 0.500
Sr5 0.540 0.679 0.500
Sr6 0.679 0.179 0.139
Sr7 0.821 0.960 0.500
Sr8 0.960 0.460 0.139
Ca1 0.000 0.000 0.000
Ca2 0.500 0.500 0.000
Si1 0.111 0.389 0.500
Si2 0.250 0.250 0.000
Si3 0.389 0.889 0.279
Si4 0.611 0.111 0.721
Si5 0.750 0.750 0.000
Si6 0.889 0.611 0.500

## Properties
Its space-group type is I4/mcm, No. 140. As for the uncorrected energy: -1.2179 Ry per atom.

2.
Entry from Alexandria: Cs3PdRh at its PBEsol-relaxed geometry (SCAN).

a b c (Å): 5.665 5.665 5.665
angles (deg): 90.00 90.00 90.00
Fractional coordinates of all 5 atoms:
Cs1 0.000 0.000 0.500
Cs2 0.000 0.500 0.000
Cs3 0.500 0.000 0.000
Pd1 0.500 0.500 0.500
Rh1 0.000 0.000 0.000

## Properties
The value obtained for the formation energy is 641 meV/atom. Its space-group type is Pm-3m, No. 221. As for the uncorrected energy: -2.5985 Ry per atom.

3.
Entry from Alexandria: AlTe2Se at its PBEsol-relaxed geometry (SCAN).

a b c (Å): 6.200 6.200 4.689
angles (deg): 103.02 103.02 34.74
Fractional coordinates of all 4 atoms:
Al1 0.000 0.000 0.000
Te1 0.319 0.319 0.801
Te2 0.681 0.681 0.199
Se1 0.500 0.500 0.500

## Properties
Its space-group type is C2/m, No. 12. As for the uncorrected energy: -1.8799 Ry per atom.

4.
Entry from Alexandria: TaNiOs2 at its PBEsol-relaxed geometry (SCAN).

a b c (Å): 2.684 4.367 4.860
angles (deg): 90.00 96.22 90.00
Fractional coordinates of all 4 atoms:
Ta1 0.000 0.000 0.000
Ni1 0.500 0.000 0.500
Os1 0.298 0.500 0.730
Os2 0.702 0.500 0.270

## Properties
The value obtained for the formation energy is 28 meV/atom. Its space-group type is P2/m, No. 10. As for the uncorrected energy: -4.1601 Ry per atom.

5.
Entry from Alexandria: LaMnMo2 at its PBEsol-relaxed geometry (SCAN).

a b c (Å): 4.544 4.544 4.544
angles (deg): 60.00 60.00 60.00
Fractional coordinates of all 4 atoms:
La1 0.000 0.000 0.000
Mn1 0.750 0.750 0.750
Mo1 0.250 0.250 0.250
Mo2 0.500 0.500 0.500

## Properties
The value obtained for the formation energy is 566 meV/atom. Its space-group type is F-43m, No. 216. As for the uncorrected energy: -2.3679 Ry per atom.

6.
Entry from Alexandria: TiGaB2Pb at its PBEsol-relaxed geometry (SCAN).

a b c (Å): 4.295 4.295 5.309
angles (deg): 90.00 90.00 90.00
Fractional coordinates of all 5 atoms:
Ti1 0.000 0.000 0.000
Ga1 0.500 0.500 0.500
B1 0.000 0.500 0.000
B2 0.500 0.000 0.000
Pb1 0.000 0.000 0.500

## Properties
The value obtained for the formation energy is 1229 meV/atom. Its space-group type is P4/mmm, No. 123. As for the uncorrected energy: -1.7180 Ry per atom.

7.
Entry from Alexandria: Ca3TcS at its PBEsol-relaxed geometry (SCAN).

a b c (Å): 5.172 5.172 5.172
angles (deg): 90.00 90.00 90.00
Fractional coordinates of all 5 atoms:
Ca1 0.000 0.000 0.500
Ca2 0.000 0.500 0.000
Ca3 0.500 0.000 0.000
Tc1 0.000 0.000 0.000
S1 0.500 0.500 0.500

## Properties
Its space-group type is Pm-3m, No. 221. As for the uncorrected energy: -1.0665 Ry per atom.

8.
Entry from Alexandria: TaAlIn2 at its PBEsol-relaxed geometry (SCAN).

a b c (Å): 2.960 4.984 5.198
angles (deg): 90.00 90.00 90.00
Fractional coordinates of all 4 atoms:
Ta1 0.000 0.000 0.000
Al1 0.000 0.500 0.709
In1 0.500 0.000 0.516
In2 0.500 0.500 0.189

## Properties
The value obtained for the formation energy is 121 meV/atom. Its space-group type is Pmm2, No. 25. As for the uncorrected energy: -2.5840 Ry per atom.

9.
Entry from Alexandria: HgPb2Au at its PBEsol-relaxed geometry (SCAN).

a b c (Å): 3.450 3.547 8.057
angles (deg): 90.00 90.07 90.00
Fractional coordinates of all 4 atoms:
Hg1 0.000 0.000 0.000
Pb1 0.498 0.500 0.278
Pb2 0.502 0.500 0.722
Au1 0.000 0.000 0.500

## Properties
The value obtained for the formation energy is -1 meV/atom. Its space-group type is P2/m, No. 10. As for the uncorrected energy: -5.3082 Ry per atom.

10.
Entry from Alexandria: TlPt2Au at its PBEsol-relaxed geometry (SCAN).

a b c (Å): 4.886 4.886 4.886
angles (deg): 129.45 129.45 74.28
Fractional coordinates of all 4 atoms:
Tl1 0.000 0.000 0.000
Pt1 0.250 0.750 0.500
Pt2 0.750 0.250 0.500
Au1 0.500 0.500 0.000

## Properties
The value obtained for the formation energy is 77 meV/atom. Its space-group type is I4/mmm, No. 139. As for the uncorrected energy: -5.1742 Ry per atom.

11.
Entry from Alexandria: Sc2Ni3 at its PBEsol-relaxed geometry (SCAN).

a b c (Å): 7.221 4.954 8.020
angles (deg): 62.48 37.47 80.05
Fractional coordinates of all 10 atoms:
Sc1 0.123 0.877 0.279
Sc2 0.529 0.971 0.373
Sc3 0.877 0.123 0.721
Sc4 0.971 0.529 0.127
Ni1 0.181 0.181 0.819
Ni2 0.431 0.431 0.069
Ni3 0.442 0.554 0.313
Ni4 0.554 0.442 0.691
Ni5 0.559 0.937 0.696
Ni6 0.937 0.559 0.808

## Properties
The value obtained for the formation energy is -474 meV/atom. Its space-group type is Fdd2, No. 43. As for the uncorrected energy: -1.1667 Ry per atom.

12.
Entry from Alexandria: TiVH4 at its PBEsol-relaxed geometry (SCAN).

a b c (Å): 5.221 5.221 5.221
angles (deg): 33.46 33.46 33.46
Fractional coordinates of all 6 atoms:
Ti1 0.000 0.000 0.000
V1 0.500 0.500 0.500
H1 0.128 0.128 0.128
H2 0.379 0.379 0.379
H3 0.621 0.621 0.621
H4 0.872 0.872 0.872

## Properties
Its space-group type is R-3m, No. 166. As for the uncorrected energy: -0.6086 Ry per atom.

13.
Entry from Alexandria: MgFe2AgBr at its PBEsol-relaxed geometry (SCAN).

a b c (Å): 4.787 4.787 5.092
angles (deg): 90.00 90.00 90.00
Fractional coordinates of all 5 atoms:
Mg1 0.000 0.000 0.000
Fe1 0.000 0.500 0.500
Fe2 0.500 0.000 0.500
Ag1 0.000 0.000 0.500
Br1 0.500 0.500 0.000

## Properties
Its space-group type is P4/mmm, No. 123. As for the uncorrected energy: -1.2973 Ry per atom.

14.
Entry from Alexandria: LiCrW2O8 at its PBEsol-relaxed geometry (SCAN).

a b c (Å): 7.296 7.296 4.887
angles (deg): 90.23 90.23 102.01
Fractional coordinates of all 24 atoms:
Li1 0.156 0.844 0.750
Li2 0.844 0.156 0.250
Cr1 0.324 0.676 0.250
Cr2 0.676 0.324 0.750
W1 0.161 0.342 0.739
W2 0.342 0.161 0.239
W3 0.658 0.839 0.761
W4 0.839 0.658 0.261
O1 0.075 0.680 0.392
O2 0.098 0.193 0.053
O3 0.193 0.098 0.553
O4 0.204 0.564 0.920
O5 0.306 0.427 0.414
O6 0.320 0.925 0.108
O7 0.427 0.306 0.914
O8 0.436 0.796 0.580
O9 0.564 0.204 0.420
O10 0.573 0.694 0.086
O11 0.680 0.075 0.892
O12 0.694 0.573 0.586
O13 0.796 0.436 0.080
O14 0.807 0.902 0.447
O15 0.902 0.807 0.947
O16 0.925 0.320 0.608

## Properties
Its space-group type is C2/c, No. 15. As for the uncorrected energy: -1.4610 Ry per atom.

15.
Entry from Alexandria: Bi2Te4Pb at its PBEsol-relaxed geometry (SCAN).

a b c (Å): 14.062 14.062 14.062
angles (deg): 18.10 18.10 18.10
Fractional coordinates of all 7 atoms:
Bi1 0.072 0.072 0.072
Bi2 0.928 0.928 0.928
Te1 0.213 0.213 0.213
Te2 0.364 0.364 0.364
Te3 0.636 0.636 0.636
Te4 0.787 0.787 0.787
Pb1 0.500 0.500 0.500

## Properties
Its space-group type is R-3m, No. 166. As for the uncorrected energy: -4.0270 Ry per atom.

16.
Entry from Alexandria: MnFeOsRu2 at its PBEsol-relaxed geometry (SCAN).

a b c (Å): 4.217 4.217 4.189
angles (deg): 90.00 90.00 90.00
Fractional coordinates of all 5 atoms:
Mn1 0.000 0.000 0.000
Fe1 0.000 0.000 0.500
Os1 0.500 0.500 0.000
Ru1 0.000 0.500 0.500
Ru2 0.500 0.000 0.500

## Properties
The value obtained for the formation energy is 1498 meV/atom. Its space-group type is P4/mmm, No. 123. As for the uncorrected energy: -2.5053 Ry per atom.

17.
Entry from Alexandria: BaBeAg2Mo at its PBEsol-relaxed geometry (SCAN).

a b c (Å): 4.616 4.616 4.568
angles (deg): 90.00 90.00 90.00
Fractional coordinates of all 5 atoms:
Ba1 0.000 0.000 0.000
Be1 0.500 0.500 0.500
Ag1 0.000 0.500 0.500
Ag2 0.500 0.000 0.500
Mo1 0.500 0.500 0.000

## Properties
The value obtained for the formation energy is 542 meV/atom. Its space-group type is P4/mmm, No. 123. As for the uncorrected energy: -2.0405 Ry per atom.

18.
Entry from Alexandria: La6Si7Br3 at its PBEsol-relaxed geometry (SCAN).

a b c (Å): 4.086 16.698 11.778
angles (deg): 90.00 90.00 90.00
Fractional coordinates of all 32 atoms:
La1 0.250 0.005 0.143
La2 0.250 0.129 0.437
La3 0.250 0.250 0.143
La4 0.250 0.371 0.437
La5 0.250 0.495 0.143
La6 0.250 0.750 0.159
La7 0.750 0.250 0.841
La8 0.750 0.505 0.857
La9 0.750 0.629 0.563
La10 0.750 0.750 0.857
La11 0.750 0.871 0.563
La12 0.750 0.995 0.857
Si1 0.250 0.127 0.933
Si2 0.250 0.373 0.933
Si3 0.250 0.625 0.754
Si4 0.250 0.626 0.958
Si5 0.250 0.750 0.652
Si6 0.250 0.874 0.958
Si7 0.250 0.875 0.754
Si8 0.750 0.125 0.246
Si9 0.750 0.126 0.042
Si10 0.750 0.250 0.348
Si11 0.750 0.374 0.042
Si12 0.750 0.375 0.246
Si13 0.750 0.627 0.067
Si14 0.750 0.873 0.067
Br1 0.250 0.250 0.638
Br2 0.250 0.557 0.391
Br3 0.250 0.943 0.391
Br4 0.750 0.057 0.609
Br5 0.750 0.443 0.609
Br6 0.750 0.750 0.362

## Properties
Its space-group type is Pmmn, No. 59. As for the uncorrected energy: -1.8646 Ry per atom.

19.
Entry from Alexandria: CdP4Pt at its PBEsol-relaxed geometry (SCAN).

a b c (Å): 5.179 5.179 5.179
angles (deg): 60.00 60.00 60.00
Fractional coordinates of all 6 atoms:
Cd1 0.000 0.000 0.000
P1 0.388 0.388 0.388
P2 0.388 0.388 0.836
P3 0.388 0.836 0.388
P4 0.836 0.388 0.388
Pt1 0.750 0.750 0.750

## Properties
The value obtained for the formation energy is 752 meV/atom. Its space-group type is F-43m, No. 216. As for the uncorrected energy: -1.6867 Ry per atom.

20.
Entry from Alexandria: K2OsW at its PBEsol-relaxed geometry (SCAN).

a b c (Å): 2.660 5.913 5.123
angles (deg): 90.00 99.55 90.00
Fractional coordinates of all 4 atoms:
K1 0.228 0.000 0.255
K2 0.772 0.000 0.745
Os1 0.000 0.500 0.500
W1 0.500 0.500 0.000

## Properties
The value obtained for the formation energy is 1378 meV/atom. Its space-group type is P2/m, No. 10. As for the uncorrected energy: -2.8060 Ry per atom.